(1)
# Pa2CdTc, optimized geometry, DFT PBE-GGA
# - DOS at the Fermi energy: 1.6481 states/eV/atom
# - Magnetic moment: 6.16 μB/cell
# - Formation enthalpy at 0 K: 0.45 eV/atom
data_Pa2CdTc
_chemical_formula_sum 'Pa6 Cd3 Tc3'
_cell_length_a 3.6675
_cell_length_b 3.6675
_cell_length_c 30.1723
_cell_angle_alpha 90.00
_cell_angle_beta 90.00
_cell_angle_gamma 120.00
_symmetry_space_group_name_H-M 'R -3 m'
_symmetry_Int_Tables_number 166
_symmetry_space_group_name_Hall '-R 3 2"'
loop_
_atom_site_label
_atom_site_fract_x
_atom_site_fract_y
_atom_site_fract_z
Pa1 0.0000 0.0000 0.1106
Cd1 0.0000 0.0000 0.0000
Tc1 0.0000 0.0000 0.5000


(2)
# YPaCdTc, optimized geometry, DFT PBE-GGA
# - DOS at the Fermi energy: 0.8002 states/eV/atom
# - Magnetic moment: 0.00 μB/cell
# - Formation enthalpy at 0 K: 0.06 eV/atom
data_YPaCdTc
_chemical_formula_sum 'Y4 Pa4 Cd4 Tc4'
_cell_length_a 7.153
_cell_length_b 7.153
_cell_length_c 7.153
_cell_angle_alpha 90.00
_cell_angle_beta 90.00
_cell_angle_gamma 90.00
_symmetry_space_group_name_H-M 'F -4 3 m'
_symmetry_Int_Tables_number 216
_symmetry_space_group_name_Hall 'F -4 2 3'
loop_
_atom_site_label
_atom_site_fract_x
_atom_site_fract_y
_atom_site_fract_z
Y1 0.000 0.000 0.000
Pa1 0.000 0.000 0.500
Cd1 0.250 0.250 0.250
Tc1 0.250 0.250 0.750


(3)
# Pa3Cd5Te12, optimized geometry, DFT PBE-GGA
# - Formation energy (no corrections): -9.09 eV/f.u.
# - DOS at the Fermi energy: 0.5304 states/eV/atom
# - Magnetic moment: 8.97 μB/cell
data_Pa3Cd5Te12
_chemical_formula_sum 'Pa24 Cd40 Te96'
_cell_length_a 17.567
_cell_length_b 17.567
_cell_length_c 17.567
_cell_angle_alpha 90.00
_cell_angle_beta 90.00
_cell_angle_gamma 90.00
_symmetry_space_group_name_H-M 'I a -3 d'
_symmetry_Int_Tables_number 230
_symmetry_space_group_name_Hall '-I 4bd 2c 3'
loop_
_atom_site_label
_atom_site_fract_x
_atom_site_fract_y
_atom_site_fract_z
Pa1 0.000 0.250 0.125
Cd1 0.000 0.000 0.000
Cd2 0.000 0.250 0.375
Te1 0.020 0.071 0.653


(4)
# PaCdTe2, optimized geometry, DFT PBE-GGA
# - Formation energy (no corrections): -1.77 eV/f.u.
# - DOS at the Fermi energy: 1.1769 states/eV/atom
# - Magnetic moment: 3.03 μB/cell
data_PaCdTe2
_chemical_formula_sum 'Pa3 Cd3 Te6'
_cell_length_a 4.2292
_cell_length_b 4.2292
_cell_length_c 31.2242
_cell_angle_alpha 90.00
_cell_angle_beta 90.00
_cell_angle_gamma 120.00
_symmetry_space_group_name_H-M 'R -3 m'
_symmetry_Int_Tables_number 166
_symmetry_space_group_name_Hall '-R 3 2"'
loop_
_atom_site_label
_atom_site_fract_x
_atom_site_fract_y
_atom_site_fract_z
Pa1 0.0000 0.0000 0.0000
Cd1 0.0000 0.0000 0.5000
Te1 0.0000 0.0000 0.3929


(5)
# Pa6CdTe12, optimized geometry, DFT PBE-GGA
# - Formation energy (no corrections): -12.50 eV/f.u.
# - DOS at the Fermi energy: 1.8562 states/eV/atom
# - Magnetic moment: 24.17 μB/cell
data_Pa6CdTe12
_chemical_formula_sum 'Pa18 Cd3 Te36'
_cell_length_a 13.7850
_cell_length_b 13.7850
_cell_length_c 11.9870
_cell_angle_alpha 90.00
_cell_angle_beta 90.00
_cell_angle_gamma 120.00
_symmetry_space_group_name_H-M 'R -3'
_symmetry_Int_Tables_number 148
_symmetry_space_group_name_Hall '-R 3'
loop_
_atom_site_label
_atom_site_fract_x
_atom_site_fract_y
_atom_site_fract_z
Pa1 0.0486 0.7743 0.1423
Cd1 0.0000 0.0000 0.5000
Te1 0.0334 0.8247 0.8827
Te2 0.0548 0.8426 0.3885


(6)
# PaCdTe2, optimized geometry, DFT PBE-GGA
# - Formation energy (no corrections): -2.30 eV/f.u.
# - DOS at the Fermi energy: 1.1306 states/eV/atom
# - Magnetic moment: 0.74 μB/cell
data_PaCdTe2
_chemical_formula_sum 'Pa1 Cd1 Te2'
_cell_length_a 3.857
_cell_length_b 3.857
_cell_length_c 7.320
_cell_angle_alpha 90.00
_cell_angle_beta 90.00
_cell_angle_gamma 90.00
_symmetry_space_group_name_H-M 'P 4/m m m'
_symmetry_Int_Tables_number 123
_symmetry_space_group_name_Hall '-P 4 2'
loop_
_atom_site_label
_atom_site_fract_x
_atom_site_fract_y
_atom_site_fract_z
Pa1 0.000 0.000 0.000
Cd1 0.000 0.000 0.500
Te1 0.500 0.500 0.230


(7)
# PaCdTe2, optimized geometry, DFT PBE-GGA
# - Formation energy (no corrections): -1.80 eV/f.u.
# - DOS at the Fermi energy: 1.3571 states/eV/atom
# - Magnetic moment: 3.02 μB/cell
data_PaCdTe2
_chemical_formula_sum 'Pa3 Cd3 Te6'
_cell_length_a 4.1984
_cell_length_b 4.1984
_cell_length_c 28.0689
_cell_angle_alpha 90.00
_cell_angle_beta 90.00
_cell_angle_gamma 120.00
_symmetry_space_group_name_H-M 'R 3 m'
_symmetry_Int_Tables_number 160
_symmetry_space_group_name_Hall 'R 3 -2"'
loop_
_atom_site_label
_atom_site_fract_x
_atom_site_fract_y
_atom_site_fract_z
Pa1 0.0000 0.0000 0.0000
Cd1 0.0000 0.0000 0.1693
Te1 0.0000 0.0000 0.4007
Te2 0.0000 0.0000 0.5988


(8)
# Pa3Tl3CdTe8, optimized geometry, DFT PBE-GGA
# - Formation energy (no corrections): -8.70 eV/f.u.
# - DOS at the Fermi energy: 1.1543 states/eV/atom
# - Magnetic moment: 11.84 μB/cell
data_Pa3Tl3CdTe8
_chemical_formula_sum 'Pa9 Tl9 Cd3 Te24'
_cell_length_a 8.7413
_cell_length_b 8.7413
_cell_length_c 25.1548
_cell_angle_alpha 90.00
_cell_angle_beta 90.00
_cell_angle_gamma 120.00
_symmetry_space_group_name_H-M 'R -3 m'
_symmetry_Int_Tables_number 166
_symmetry_space_group_name_Hall '-R 3 2"'
loop_
_atom_site_label
_atom_site_fract_x
_atom_site_fract_y
_atom_site_fract_z
Pa1 0.0000 0.5000 0.0000
Tl1 0.0000 0.5000 0.5000
Cd1 0.0000 0.0000 0.0000
Te1 0.0000 0.0000 0.2606
Te2 0.0032 0.5016 0.2622


(9)
# ThPaCd2, optimized geometry, DFT PBE-GGA
# - DOS at the Fermi energy: 1.1844 states/eV/atom
# - Magnetic moment: 0.00 μB/cell
# - Formation enthalpy at 0 K: 0.07 eV/atom
data_ThPaCd2
_chemical_formula_sum 'Th1 Pa1 Cd2'
_cell_length_a 4.577
_cell_length_b 4.577
_cell_length_c 4.894
_cell_angle_alpha 90.00
_cell_angle_beta 90.00
_cell_angle_gamma 90.00
_symmetry_space_group_name_H-M 'P 4/m m m'
_symmetry_Int_Tables_number 123
_symmetry_space_group_name_Hall '-P 4 2'
loop_
_atom_site_label
_atom_site_fract_x
_atom_site_fract_y
_atom_site_fract_z
Th1 0.000 0.000 0.000
Pa1 0.500 0.500 0.000
Cd1 0.000 0.500 0.500


(10)
# ThPaCd17, optimized geometry, DFT PBE-GGA
# - DOS at the Fermi energy: 0.6429 states/eV/atom
# - Magnetic moment: 4.56 μB/cell
# - Formation enthalpy at 0 K: 0.00 eV/atom
data_ThPaCd17
_chemical_formula_sum 'Th3 Pa3 Cd51'
_cell_length_a 10.0692
_cell_length_b 10.0692
_cell_length_c 14.9637
_cell_angle_alpha 90.00
_cell_angle_beta 90.00
_cell_angle_gamma 120.00
_symmetry_space_group_name_H-M 'R 3 m'
_symmetry_Int_Tables_number 160
_symmetry_space_group_name_Hall 'R 3 -2"'
loop_
_atom_site_label
_atom_site_fract_x
_atom_site_fract_y
_atom_site_fract_z
Th1 0.0000 0.0000 0.0000
Pa1 0.0000 0.0000 0.6643
Cd1 0.0000 0.0000 0.2428
Cd2 0.0000 0.0000 0.4388
Cd3 0.0034 0.3052 0.3348
Cd4 0.0226 0.5113 0.1904
Cd5 0.0329 0.5164 0.8279
Cd6 0.0581 0.5290 0.4878


(11)
# ThPaCd4, optimized geometry, DFT PBE-GGA
# - DOS at the Fermi energy: 1.5278 states/eV/atom
# - Magnetic moment: 8.78 μB/cell
# - Formation enthalpy at 0 K: 0.05 eV/atom
data_ThPaCd4
_chemical_formula_sum 'Th4 Pa4 Cd16'
_cell_length_a 8.418
_cell_length_b 8.418
_cell_length_c 8.418
_cell_angle_alpha 90.00
_cell_angle_beta 90.00
_cell_angle_gamma 90.00
_symmetry_space_group_name_H-M 'F -4 3 m'
_symmetry_Int_Tables_number 216
_symmetry_space_group_name_Hall 'F -4 2 3'
loop_
_atom_site_label
_atom_site_fract_x
_atom_site_fract_y
_atom_site_fract_z
Th1 0.000 0.000 0.000
Pa1 0.250 0.250 0.250
Cd1 0.125 0.125 0.625


(12)
# ThPa2Cd, optimized geometry, DFT PBE-GGA
# - DOS at the Fermi energy: 2.1254 states/eV/atom
# - Magnetic moment: 0.00 μB/cell
# - Formation enthalpy at 0 K: 0.18 eV/atom
data_ThPa2Cd
_chemical_formula_sum 'Th1 Pa2 Cd1'
_cell_length_a 4.590
_cell_length_b 4.590
_cell_length_c 5.023
_cell_angle_alpha 90.00
_cell_angle_beta 90.00
_cell_angle_gamma 90.00
_symmetry_space_group_name_H-M 'P 4/m m m'
_symmetry_Int_Tables_number 123
_symmetry_space_group_name_Hall '-P 4 2'
loop_
_atom_site_label
_atom_site_fract_x
_atom_site_fract_y
_atom_site_fract_z
Th1 0.000 0.000 0.000
Pa1 0.000 0.500 0.500
Cd1 0.500 0.500 0.000